1.
A plane-wave DFT calculation with GGA-PBE was carried out for a geometry-optimized PmScTcNi structure.

Cell: 4.730 4.730 4.730 Å, 60.00 60.00 60.00°
Fractional coordinates of all 4 atoms:
1 Pm 0.500 0.500 0.500
2 Sc 0.000 0.000 0.000
3 Ni 0.250 0.250 0.250
4 Tc 0.750 0.750 0.750

Values from the calculation:
electronic total energy = -0.25356 Ha/atom
ΔH_f (0 K) = -92 meV per atom



2.
A plane-wave DFT calculation with GGA-PBE was carried out for a geometry-optimized PmNiSe2 structure.

Cell: 3.646 3.646 8.552 Å, 77.69 77.69 60.00°
Fractional coordinates of all 4 atoms:
1 Se 0.884 0.884 0.349
2 Se 0.116 0.116 0.651
3 Pm 0.000 0.000 0.000
4 Ni 0.500 0.500 0.500

Values from the calculation:
electronic total energy = -0.17416 Ha/atom
E_form (uncorrected) = -0.36 eV per atom